Entry 1:
# GGA-PBE Ca2BePtAu6, relaxed
# Theoretical density = 11.3 g cm⁻³
# DFT formation energy = -0.44 eV per atom
data_Ca2BePtAu6
_chemical_formula_sum 'Ca4 Be2 Pt2 Au12'
_cell_length_a 11.558
_cell_length_b 5.474
_cell_length_c 8.551
_cell_angle_alpha 90.00
_cell_angle_beta 127.30
_cell_angle_gamma 90.00
_space_group_name_H-M_alt 'C 1 2/m 1'
_space_group_IT_number 12
_space_group_name_Hall '-C 2y'
loop_
_atom_site_label
_atom_site_fract_x
_atom_site_fract_y
_atom_site_fract_z
Ca1 0.205 0.000 0.156
Be1 0.000 0.000 0.500
Pt1 0.000 0.500 0.000
Au1 0.001 0.251 0.721
Au2 0.242 0.000 0.632

Entry 2:
# GGA-PBE TbNp2Fe9, relaxed
# Theoretical density = 11.1 g cm⁻³
# DFT formation energy = 0.03 eV per atom
data_TbNp2Fe9
_chemical_formula_sum 'Tb3 Np6 Fe27'
_cell_length_a 4.8291
_cell_length_b 4.8291
_cell_length_c 25.1438
_cell_angle_alpha 90.00
_cell_angle_beta 90.00
_cell_angle_gamma 120.00
_space_group_name_H-M_alt 'R -3 m'
_space_group_IT_number 166
_space_group_name_Hall '-R 3 2"'
loop_
_atom_site_label
_atom_site_fract_x
_atom_site_fract_y
_atom_site_fract_z
Tb1 0.0000 0.0000 0.0000
Np1 0.0000 0.0000 0.1445
Fe1 0.0000 0.0000 0.3319
Fe2 0.0000 0.0000 0.5000
Fe3 0.0030 0.5015 0.0810

Total moment in μB per cell, matching the order above: 0.00 2.05